Entry 1:
{
  "formula": "LiMgSnSe",
  "functional": "PBE",
  "state": "relaxed",
  "de_polymorph_ev_per_atom": 0.0000,
  "space_group": "R3m",
  "raw_formation_energy_ev_per_atom": -0.61,
  "lattice": [[3.742, 0.000, 0.000], [-1.871, 3.241, 0.000], [0.000, 0.000, 22.831]],
  "species": ["Sn", "Sn", "Sn", "Mg", "Mg", "Mg", "Se", "Se", "Se", "Li", "Li", "Li"],
  "frac_coords": [[0.667, 0.333, 0.109], [0.000, 0.000, 0.776], [0.333, 0.667, 0.443], [0.000, 0.000, 0.337], [0.667, 0.333, 0.670], [0.333, 0.667, 0.004], [0.667, 0.333, 0.274], [0.000, 0.000, 0.941], [0.333, 0.667, 0.607], [0.333, 0.667, 0.214], [0.667, 0.333, 0.881], [0.000, 0.000, 0.547]]
}

Entry 2:
{
  "formula": "LiMgSnSe",
  "functional": "PBE",
  "state": "relaxed",
  "de_polymorph_ev_per_atom": 0.0800,
  "space_group": "P1",
  "raw_formation_energy_ev_per_atom": -0.53,
  "lattice": [[-2.044, 3.086, -0.230], [1.260, -1.751, -4.525], [-4.571, -2.929, 2.213]],
  "species": ["Sn", "Se", "Mg", "Li"],
  "frac_coords": [[0.155, 0.052, 0.314], [0.443, 0.607, 0.857], [0.942, 0.615, 0.540], [0.764, 0.253, 0.962]]
}

Entry 3:
{
  "formula": "Li2MgSnSe4",
  "functional": "PBE",
  "state": "relaxed",
  "space_group": "Pmn2_1",
  "raw_formation_energy_ev_per_atom": -0.95,
  "lattice": [[-3.165, 5.406, -2.809], [-6.205, -3.972, -0.654], [-2.410, 2.519, 7.563]],
  "species": ["Mg", "Mg", "Li", "Li", "Li", "Li", "Sn", "Sn", "Se", "Se", "Se", "Se", "Se", "Se", "Se", "Se"],
  "frac_coords": [[0.495, 0.845, 0.000], [0.995, 0.155, 0.500], [0.001, 0.670, 0.247], [0.501, 0.330, 0.253], [0.501, 0.330, 0.747], [0.001, 0.670, 0.753], [0.500, 0.834, 0.500], [0.000, 0.166, 0.000], [0.376, 0.662, 0.252], [0.376, 0.160, 0.500], [0.876, 0.338, 0.752], [0.876, 0.840, 0.000], [0.376, 0.662, 0.748], [0.375, 0.176, 0.000], [0.875, 0.824, 0.500], [0.876, 0.338, 0.248]]
}